Computed, not measured: crystalline Sm2Al3Os at its relaxed geometry at the GGA-PBE level of DFT.

Cell and atoms, written as CIF:
```
data_Sm2Al3Os
_chemical_formula_sum 'Sm6 Al9 Os3'
_space_group_name_H-M_alt 'R -3 m'
_space_group_IT_number 166
_space_group_name_Hall '-R 3 2"'
_cell_length_a 5.5650
_cell_length_b 5.5650
_cell_length_c 13.3176
_cell_angle_alpha 90.00
_cell_angle_beta 90.00
_cell_angle_gamma 120.00
loop_
_atom_site_label
_atom_site_type_symbol
_atom_site_fract_x
_atom_site_fract_y
_atom_site_fract_z
_atom_site_occupancy
Sm1 Sm 0.0000 0.0000 0.1271 1
Al1 Al 0.0000 0.5000 0.0000 1
Os1 Os 0.0000 0.0000 0.5000 1
```

## Properties
calculated formation energy = -0.452 eV/atom
crystal system = trigonal
V = 357 Å³/cell
E = -5.7677 eV per atom

Computed, not measured: crystalline Y2HfCr at its relaxed geometry at the GGA-PBE level of DFT.

Cell and atoms, written as CIF:
```
data_Y2HfCr
_chemical_formula_sum 'Y8 Hf4 Cr4'
_space_group_name_H-M_alt 'I -4 2 d'
_space_group_IT_number 122
_space_group_name_Hall 'I -4 2bw'
_cell_length_a 8.097
_cell_length_b 8.097
_cell_length_c 5.918
_cell_angle_alpha 90.00
_cell_angle_beta 90.00
_cell_angle_gamma 90.00
loop_
_atom_site_label
_atom_site_type_symbol
_atom_site_fract_x
_atom_site_fract_y
_atom_site_fract_z
_atom_site_occupancy
Y1 Y 0.199 0.750 0.125 1
Hf1 Hf 0.000 0.000 0.500 1
Cr1 Cr 0.000 0.000 0.000 1
```

## Properties
calculated formation energy = 0.866 eV/atom
relative energy among the computed polymorphs = 0.432 eV/atom
crystal system = tetragonal
V = 388 Å³/cell
E = -7.2602 eV per atom

Computed, not measured: crystalline Ba2SnTeS5 at its relaxed geometry at the GGA-PBE level of DFT.

Cell and atoms, written as CIF:
```
data_Ba2SnTeS5
_chemical_formula_sum 'Ba8 Sn4 Te4 S20'
_space_group_name_H-M_alt 'C m c 21'
_space_group_IT_number 36
_cell_length_a 4.637
_cell_length_b 17.570
_cell_length_c 13.008
_cell_angle_alpha 90.00
_cell_angle_beta 90.00
_cell_angle_gamma 90.00
loop_
_space_group_symop_operation_xyz
'x,y,z'
'-x,-y,z+1/2'
'-x,y,z'
'x,-y,z+1/2'
'x+1/2,y+1/2,z'
'-x+1/2,-y+1/2,z+1/2'
'-x+1/2,y+1/2,z'
'x+1/2,-y+1/2,z+1/2'
loop_
_atom_site_label
_atom_site_type_symbol
_atom_site_fract_x
_atom_site_fract_y
_atom_site_fract_z
_atom_site_occupancy
Ba1 Ba 0.000 0.106 0.000 1
Ba2 Ba 0.000 0.141 0.645 1
Sn1 Sn 0.000 0.444 0.740 1
Te1 Te 0.000 0.215 0.365 1
S1 S 0.000 0.029 0.319 1
S2 S 0.000 0.289 0.950 1
S3 S 0.000 0.323 0.648 1
S4 S 0.000 0.351 0.326 1
S5 S 0.000 0.478 0.082 1
```

## Properties
ΔE_f (raw) = -1040 meV per atom
crystal system = orthorhombic
V = 1060 Å³/cell
E = -4.5537 eV per atom

Question: The lowest V belongs to which entry?
Answer: Sm2Al3Os